Record 1
DFT (GGA-PBE) results for HfZr3Ge2C2 after structural relaxation.

Results
For the total energy, the calculation gives -69.8 eV/f.u.

Cell: 3.329 3.329 13.781 Å, 90.00 90.00 120.00°
Element x y z (fractional)
Zr 0.000 0.000 0.594
Zr 0.667 0.333 0.092
Zr 0.667 0.333 0.407
C 0.333 0.667 0.501
C 0.333 0.667 0.997
Hf 0.000 0.000 0.908
Ge 0.000 0.000 0.250
Ge 0.667 0.333 0.752


Record 2
DFT (GGA-PBE) results for PrPAuO after structural relaxation.

Results
The value obtained for the energy above the lowest structure with this stoichiometry is 514 meV per atom. For the total energy, the calculation gives -22.6 eV/f.u.

Cell: 4.060 5.731 7.057 Å, 90.00 90.00 90.00°
Element x y z (fractional)
O 0.500 0.568 0.893
O 0.500 0.432 0.393
Pr 0.500 0.734 0.599
Pr 0.500 0.266 0.099
P 0.000 0.138 0.795
P 0.000 0.862 0.295
Au 0.000 0.783 0.967
Au 0.000 0.217 0.467


Record 3
DFT (GGA-PBE) results for LaPrH2Cl4 after structural relaxation.

Results
For the total energy, the calculation gives -38.2 eV/f.u.

Cell: 3.994 3.994 13.345 Å, 90.00 90.00 120.00°
Element x y z (fractional)
Cl 0.333 0.667 0.866
Cl 0.333 0.667 0.134
Cl 0.667 0.333 0.633
Cl 0.667 0.333 0.367
Pr 0.000 0.000 0.500
La 0.000 0.000 0.000
H 0.667 0.333 0.000
H 0.333 0.667 0.500


Record 4
DFT (GGA-PBE) results for ErBeSi after structural relaxation.

Results
For the total energy, the calculation gives -13.9 eV/f.u.

Cell: 4.328 4.328 4.328 Å, 60.00 60.00 60.00°
Element x y z (fractional)
Be 0.250 0.250 0.250
Si 0.000 0.000 0.000
Er 0.750 0.750 0.750


Record 5
DFT (GGA-PBE) results for FeB4Os after structural relaxation.

Results
The value obtained for the energy above the lowest structure with this stoichiometry is 61 meV per atom. For the total energy, the calculation gives -44.8 eV/f.u.

Cell: 2.967 2.967 6.368 Å, 90.00 90.00 120.00°
Element x y z (fractional)
B 0.667 0.333 0.728
B 0.333 0.667 0.272
B 0.667 0.333 0.272
B 0.333 0.667 0.728
Fe 0.000 0.000 0.500
Os 0.000 0.000 0.000


Record 6
DFT (GGA-PBE) results for CsBeNbPt after structural relaxation.

Results
The value obtained for the energy above the lowest structure with this stoichiometry is 0 meV per atom. For the total energy, the calculation gives -16.4 eV/f.u.

Cell: 4.748 4.748 4.748 Å, 60.00 60.00 60.00°
Element x y z (fractional)
Nb 0.250 0.250 0.250
Be 0.750 0.750 0.750
Cs 0.000 0.000 0.000
Pt 0.500 0.500 0.500


Record 7
DFT (GGA-PBE) results for BeReSi after structural relaxation.

Results
The value obtained for the energy above the lowest structure with this stoichiometry is 0 meV per atom. For the total energy, the calculation gives -20.8 eV/f.u.

Cell: 3.897 3.897 3.897 Å, 60.00 60.00 60.00°
Element x y z (fractional)
Re 0.750 0.750 0.750
Be 0.250 0.250 0.250
Si 0.000 0.000 0.000


Record 8
DFT (GGA-PBE) results for CsNb4ClO5 after structural relaxation.

Results
For the total energy, the calculation gives -89.7 eV/f.u.

Cell: 4.250 4.250 9.249 Å, 90.00 90.00 90.00°
Element x y z (fractional)
O 0.500 0.000 0.226
O 0.500 0.000 0.774
O 0.000 0.500 0.226
O 0.000 0.500 0.774
O 0.500 0.500 0.000
Nb 0.000 0.500 0.000
Nb 0.000 0.000 0.216
Nb 0.000 0.000 0.784
Nb 0.500 0.000 0.000
Cs 0.500 0.500 0.500
Cl 0.000 0.000 0.500


Record 9
DFT (GGA-PBE) results for TmS2IBr after structural relaxation.

Results
For the total energy, the calculation gives -21.8 eV/f.u.

Cell: 7.574 7.619 7.921 Å, 113.95 91.06 118.27°
Element x y z (fractional)
Tm 0.842 0.670 0.001
Tm 0.158 0.330 0.999
S 0.235 0.031 0.055
S 0.907 0.865 0.754
S 0.765 0.969 0.945
S 0.093 0.135 0.246
I 0.571 0.708 0.281
I 0.429 0.292 0.719
Br 0.980 0.403 0.746
Br 0.020 0.597 0.254


Record 10
DFT (GGA-PBE) results for Ga5OsPt after structural relaxation.

Results
For the total energy, the calculation gives -32.9 eV/f.u.

Cell: 4.407 4.407 5.908 Å, 90.00 90.00 90.00°
Element x y z (fractional)
Pt 0.000 0.000 0.500
Os 0.000 0.000 0.000
Ga 0.500 0.000 0.263
Ga 0.000 0.500 0.737
Ga 0.500 0.000 0.737
Ga 0.500 0.500 0.000
Ga 0.000 0.500 0.263


Record 11
DFT (GGA-PBE) results for BaTbZn after structural relaxation.

Results
For the total energy, the calculation gives -7.2 eV/f.u.

Cell: 5.354 5.354 5.354 Å, 60.00 60.00 60.00°
Element x y z (fractional)
Ba 0.250 0.250 0.250
Zn 0.000 0.000 0.000
Tb 0.750 0.750 0.750


Record 12
DFT (GGA-PBE) results for Lu4FeAsN2 after structural relaxation.

Results
For the total energy, the calculation gives -55.8 eV/f.u.

Cell: 3.387 3.387 13.641 Å, 90.00 90.00 120.00°
Element x y z (fractional)
Lu 0.000 0.000 0.353
Lu 0.667 0.333 0.844
Lu 0.667 0.333 0.156
Lu 0.000 0.000 0.647
N 0.333 0.667 0.758
N 0.333 0.667 0.242
Fe 0.667 0.333 0.500
As 0.000 0.000 0.000